[1]
# GaSBr2

Crystalline GaSBr2 at its relaxed geometry (GGA-PBEsol, the Alexandria database).

Unit cell a=9.658 b=9.658 c=4.633 alpha=90.00 beta=90.00 gamma=90.00
Space group I-42d (No. 122)
Asymmetric unit:
Ga1 0.000 0.000 0.000 (multiplicity 4)
S1 0.000 0.000 0.500 (multiplicity 4)
Br1 0.092 0.750 0.125 (multiplicity 8)

Properties
* energy above the lowest structure with this stoichiometry: 0.0 kJ/mol of formula units
* volume: 432.1 Å³ per cell


[2]
# Ga3SBr

Crystalline Ga3SBr at its relaxed geometry (GGA-PBEsol, the Alexandria database).

Unit cell a=5.080 b=5.080 c=5.080 alpha=90.00 beta=90.00 gamma=90.00
Space group Pm-3m (No. 221)
Asymmetric unit:
Ga1 0.000 0.000 0.500 (multiplicity 3)
S1 0.000 0.000 0.000 (multiplicity 1)
Br1 0.500 0.500 0.500 (multiplicity 1)

Properties
* volume: 131.1 Å³ per cell


[3]
# GaSBr2

Crystalline GaSBr2 at its relaxed geometry (GGA-PBEsol, the Alexandria database).

Unit cell a=3.5669 b=3.5669 c=27.0051 alpha=90.00 beta=90.00 gamma=120.00
Space group R-3m (No. 166, hexagonal axes)
Asymmetric unit:
Ga1 0.0000 0.0000 0.0000 (multiplicity 3)
S1 0.0000 0.0000 0.5000 (multiplicity 3)
Br1 0.0000 0.0000 0.0872 (multiplicity 6)

Properties
* energy above the lowest structure with this stoichiometry: 202.5 kJ/mol of formula units
* volume: 297.5 Å³ per cell


[4]
# GaSbBr2

Crystalline GaSbBr2 at its relaxed geometry (GGA-PBEsol, the Alexandria database).

Unit cell a=4.791 b=4.791 c=19.188 alpha=90.00 beta=90.00 gamma=90.00
Space group I-42d (No. 122)
Asymmetric unit:
Ga1 0.000 0.000 0.000 (multiplicity 4)
Sb1 0.000 0.000 0.500 (multiplicity 4)
Br1 0.243 0.250 0.625 (multiplicity 8)

Properties
* energy above the lowest structure with this stoichiometry: 81.8 kJ/mol of formula units
* volume: 440.4 Å³ per cell


[5]
# GaSb4Br4

Crystalline GaSb4Br4 at its relaxed geometry (GGA-PBEsol, the Alexandria database).

Unit cell a=18.002 b=10.084 c=13.089 alpha=90.00 beta=90.00 gamma=90.00
Space group Pna2_1 (No. 33)
Asymmetric unit:
Ga1 0.007 0.002 0.000 (multiplicity 4)
Ga2 0.177 0.516 0.818 (multiplicity 4)
Sb1 0.053 0.564 0.173 (multiplicity 4)
Sb2 0.073 0.295 0.270 (multiplicity 4)
Sb3 0.075 0.545 0.394 (multiplicity 4)
Sb4 0.168 0.373 0.101 (multiplicity 4)
Sb5 0.197 0.345 0.407 (multiplicity 4)
Sb6 0.206 0.656 0.151 (multiplicity 4)
Sb7 0.208 0.926 0.738 (multiplicity 4)
Sb8 0.228 0.636 0.370 (multiplicity 4)
Br1 0.007 0.016 0.822 (multiplicity 4)
Br2 0.051 0.808 0.568 (multiplicity 4)
Br3 0.061 0.186 0.552 (multiplicity 4)
Br4 0.108 0.320 0.821 (multiplicity 4)
Br5 0.115 0.683 0.909 (multiplicity 4)
Br6 0.127 0.993 0.068 (multiplicity 4)
Br7 0.190 0.582 0.648 (multiplicity 4)
Br8 0.206 0.982 0.390 (multiplicity 4)

Properties
* volume: 2375.9 Å³ per cell


[6]
# GaSbBr2

Crystalline GaSbBr2 at its relaxed geometry (GGA-PBEsol, the Alexandria database).

Unit cell a=3.6073 b=3.6073 c=29.1223 alpha=90.00 beta=90.00 gamma=120.00
Space group R-3m (No. 166, hexagonal axes)
Asymmetric unit:
Ga1 0.0000 0.0000 0.0000 (multiplicity 3)
Sb1 0.0000 0.0000 0.5000 (multiplicity 3)
Br1 0.0000 0.0000 0.4053 (multiplicity 6)

Properties
* energy above the lowest structure with this stoichiometry: 0.0 kJ/mol of formula units
* volume: 328.2 Å³ per cell


[7]
# ScGaBr3

Crystalline ScGaBr3 at its relaxed geometry (GGA-PBEsol, the Alexandria database).

Unit cell a=5.233 b=5.233 c=5.233 alpha=90.00 beta=90.00 gamma=90.00
Space group Pm-3m (No. 221)
Asymmetric unit:
Sc1 0.000 0.000 0.000 (multiplicity 1)
Ga1 0.500 0.500 0.500 (multiplicity 1)
Br1 0.000 0.500 0.500 (multiplicity 3)

Properties
* volume: 143.3 Å³ per cell


[8]
# Sc3GaBr

Crystalline Sc3GaBr at its relaxed geometry (GGA-PBEsol, the Alexandria database).

Unit cell a=4.860 b=4.860 c=4.860 alpha=90.00 beta=90.00 gamma=90.00
Space group Pm-3m (No. 221)
Asymmetric unit:
Sc1 0.000 0.000 0.500 (multiplicity 3)
Ga1 0.500 0.500 0.500 (multiplicity 1)
Br1 0.000 0.000 0.000 (multiplicity 1)

Properties
* volume: 114.8 Å³ per cell


[9]
# GaSeBr7

Crystalline GaSeBr7 at its relaxed geometry (GGA-PBEsol, the Alexandria database).

Unit cell a=6.511 b=6.389 c=14.916 alpha=90.00 beta=101.94 gamma=90.00
Space group Pc (No. 7)
Asymmetric unit:
Ga1 0.000 0.005 0.000 (multiplicity 2)
Se1 0.265 0.420 0.161 (multiplicity 2)
Br1 0.112 0.381 0.763 (multiplicity 2)
Br2 0.337 0.141 0.005 (multiplicity 2)
Br3 0.474 0.188 0.266 (multiplicity 2)
Br4 0.538 0.355 0.640 (multiplicity 2)
Br5 0.780 0.142 0.868 (multiplicity 2)
Br6 0.900 0.133 0.133 (multiplicity 2)
Br7 0.975 0.358 0.495 (multiplicity 2)

Properties
* volume: 607.1 Å³ per cell


[10]
# GaSeBr3

Crystalline GaSeBr3 at its relaxed geometry (GGA-PBEsol, the Alexandria database).

Unit cell a=5.132 b=5.132 c=5.132 alpha=90.00 beta=90.00 gamma=90.00
Space group Pm-3m (No. 221)
Asymmetric unit:
Ga1 0.000 0.000 0.000 (multiplicity 1)
Se1 0.500 0.500 0.500 (multiplicity 1)
Br1 0.000 0.000 0.500 (multiplicity 3)

Properties
* volume: 135.1 Å³ per cell


[11]
# Ga2TcSeBr

Crystalline Ga2TcSeBr at its relaxed geometry (GGA-PBEsol, the Alexandria database).

Unit cell a=5.330 b=5.330 c=4.749 alpha=90.00 beta=90.00 gamma=90.00
Space group P4/mmm (No. 123)
Asymmetric unit:
Ga1 0.000 0.500 0.000 (multiplicity 2)
Tc1 0.000 0.000 0.500 (multiplicity 1)
Se1 0.500 0.500 0.500 (multiplicity 1)
Br1 0.000 0.000 0.000 (multiplicity 1)

Properties
* volume: 134.9 Å³ per cell


[12]
# GaTeSe2Br

Crystalline GaTeSe2Br at its relaxed geometry (GGA-PBEsol, the Alexandria database).

Unit cell a=4.994 b=4.994 c=4.838 alpha=90.00 beta=90.00 gamma=90.00
Space group P4/mmm (No. 123)
Asymmetric unit:
Ga1 0.000 0.000 0.000 (multiplicity 1)
Te1 0.500 0.500 0.500 (multiplicity 1)
Se1 0.000 0.500 0.000 (multiplicity 2)
Br1 0.000 0.000 0.500 (multiplicity 1)

Properties
* volume: 120.7 Å³ per cell


[13]
# TiGaSeBr2

Crystalline TiGaSeBr2 at its relaxed geometry (GGA-PBEsol, the Alexandria database).

Unit cell a=5.117 b=5.117 c=4.912 alpha=90.00 beta=90.00 gamma=90.00
Space group P4/mmm (No. 123)
Asymmetric unit:
Ti1 0.000 0.000 0.000 (multiplicity 1)
Ga1 0.500 0.500 0.500 (multiplicity 1)
Se1 0.000 0.000 0.500 (multiplicity 1)
Br1 0.000 0.500 0.000 (multiplicity 2)

Properties
* volume: 128.6 Å³ per cell


[14]
# TlGaSe2Br

Crystalline TlGaSe2Br at its relaxed geometry (GGA-PBEsol, the Alexandria database).

Unit cell a=5.262 b=5.262 c=5.641 alpha=90.00 beta=90.00 gamma=90.00
Space group P4/mmm (No. 123)
Asymmetric unit:
Tl1 0.000 0.000 0.000 (multiplicity 1)
Ga1 0.500 0.500 0.500 (multiplicity 1)
Se1 0.000 0.500 0.000 (multiplicity 2)
Br1 0.000 0.000 0.500 (multiplicity 1)

Properties
* volume: 156.2 Å³ per cell


[15]
# YGaSe2Br

Crystalline YGaSe2Br at its relaxed geometry (GGA-PBEsol, the Alexandria database).

Unit cell a=4.959 b=4.959 c=4.909 alpha=90.00 beta=90.00 gamma=90.00
Space group P4/mmm (No. 123)
Asymmetric unit:
Y1 0.000 0.000 0.000 (multiplicity 1)
Ga1 0.500 0.500 0.500 (multiplicity 1)
Se1 0.000 0.500 0.500 (multiplicity 2)
Br1 0.500 0.500 0.000 (multiplicity 1)

Properties
* volume: 120.7 Å³ per cell


[16]
# GaTeBr

Crystalline GaTeBr at its relaxed geometry (GGA-PBEsol, the Alexandria database).

Unit cell a=4.083 b=15.233 c=5.895 alpha=90.00 beta=90.00 gamma=90.00
Space group Cmc2_1 (No. 36)
Asymmetric unit:
Ga1 0.000 0.191 0.000 (multiplicity 4)
Te1 0.000 0.340 0.225 (multiplicity 4)
Br1 0.000 0.073 0.255 (multiplicity 4)

Properties
* volume: 366.7 Å³ per cell


[17]
# Ga2TeBr

Crystalline Ga2TeBr at its relaxed geometry (GGA-PBEsol, the Alexandria database).

Unit cell a=7.232 b=7.232 c=7.232 alpha=90.00 beta=90.00 gamma=90.00
Space group Fm-3m (No. 225)
Asymmetric unit:
Ga1 0.250 0.250 0.250 (multiplicity 8)
Te1 0.000 0.000 0.000 (multiplicity 4)
Br1 0.000 0.000 0.500 (multiplicity 4)

Properties
* volume: 378.2 Å³ per cell


[18]
# TiZnGaBr2

Crystalline TiZnGaBr2 at its relaxed geometry (GGA-PBEsol, the Alexandria database).

Unit cell a=4.920 b=4.920 c=5.304 alpha=90.00 beta=90.00 gamma=90.00
Space group P4/mmm (No. 123)
Asymmetric unit:
Ti1 0.000 0.000 0.000 (multiplicity 1)
Zn1 0.500 0.500 0.500 (multiplicity 1)
Ga1 0.000 0.000 0.500 (multiplicity 1)
Br1 0.000 0.500 0.000 (multiplicity 2)

Properties
* volume: 128.4 Å³ per cell


[19]
# GaWBr2

Crystalline GaWBr2 at its relaxed geometry (GGA-PBEsol, the Alexandria database).

Unit cell a=3.1201 b=3.1201 c=29.6812 alpha=90.00 beta=90.00 gamma=120.00
Space group R-3m (No. 166, hexagonal axes)
Asymmetric unit:
Ga1 0.0000 0.0000 0.0000 (multiplicity 3)
W1 0.0000 0.0000 0.5000 (multiplicity 3)
Br1 0.0000 0.0000 0.4191 (multiplicity 6)

Properties
* volume: 250.2 Å³ per cell


[20]
# YGaBr3

Crystalline YGaBr3 at its relaxed geometry (GGA-PBEsol, the Alexandria database).

Unit cell a=5.483 b=5.483 c=5.483 alpha=90.00 beta=90.00 gamma=90.00
Space group Pm-3m (No. 221)
Asymmetric unit:
Y1 0.000 0.000 0.000 (multiplicity 1)
Ga1 0.500 0.500 0.500 (multiplicity 1)
Br1 0.000 0.000 0.500 (multiplicity 3)

Properties
* volume: 164.8 Å³ per cell


[21]
# ZnGaBr2

Crystalline ZnGaBr2 at its relaxed geometry (GGA-PBEsol, the Alexandria database).

Unit cell a=3.7949 b=3.7949 c=26.7849 alpha=90.00 beta=90.00 gamma=120.00
Space group R-3m (No. 166, hexagonal axes)
Asymmetric unit:
Zn1 0.0000 0.0000 0.0000 (multiplicity 3)
Ga1 0.0000 0.0000 0.5000 (multiplicity 3)
Br1 0.0000 0.0000 0.0917 (multiplicity 6)

Properties
* volume: 334.1 Å³ per cell


[22]
# Zr2GaBr

Crystalline Zr2GaBr at its relaxed geometry (GGA-PBEsol, the Alexandria database).

Unit cell a=6.732 b=6.732 c=6.732 alpha=90.00 beta=90.00 gamma=90.00
Space group Fm-3m (No. 225)
Asymmetric unit:
Zr1 0.250 0.250 0.250 (multiplicity 8)
Ga1 0.000 0.000 0.000 (multiplicity 4)
Br1 0.000 0.000 0.500 (multiplicity 4)

Properties
* volume: 305.2 Å³ per cell


[23]
# GdBr3

Crystalline GdBr3 at its relaxed geometry (GGA-PBEsol, the Alexandria database).

Unit cell a=7.207 b=12.464 c=6.913 alpha=90.00 beta=109.46 gamma=90.00
Space group C2/m (No. 12)
Asymmetric unit:
Gd1 0.000 0.166 0.000 (multiplicity 4)
Br1 0.215 0.000 0.249 (multiplicity 4)
Br2 0.242 0.180 0.756 (multiplicity 8)

Properties
* volume: 585.5 Å³ per cell


[24]
# GdBr

Crystalline GdBr at its relaxed geometry (GGA-PBEsol, the Alexandria database).

Unit cell a=3.7580 b=3.7580 c=10.0358 alpha=90.00 beta=90.00 gamma=120.00
Space group P-3m1 (No. 164)
Asymmetric unit:
Gd1 0.3333 0.6667 0.1401 (multiplicity 2)
Br1 0.3333 0.6667 0.6663 (multiplicity 2)

Properties
* volume: 122.7 Å³ per cell


| no. | total moment (μB/f.u.) | formation energy without anion corrections (eV/atom) |
| --- | --- | --- |
| 1 | 0.77 | -0.052 |
| 2 | 0.00 | 0.149 |
| 3 | 1.07 | 0.473 |
| 4 | 0.00 | -0.030 |
| 5 | 0.00 | -0.390 |
| 6 | 0.00 | -0.241 |
| 7 | 1.48 | -0.258 |
| 8 | 0.00 | -0.136 |
| 9 | 0.00 | -0.439 |
| 10 | 2.48 | 0.050 |
| 11 | 3.70 | 1.108 |
| 12 | 0.00 | 0.140 |
| 13 | 0.93 | -0.629 |
| 14 | 0.00 | 0.231 |
| 15 | 0.00 | -0.621 |
| 16 | 0.00 | -0.542 |
| 17 | 0.00 | -0.164 |
| 18 | 0.35 | -0.108 |
| 19 | 0.00 | 0.442 |
| 20 | 0.01 | -0.996 |
| 21 | 0.00 | -0.118 |
| 22 | 0.00 | -0.319 |
| 23 | 6.96 | -1.857 |
| 24 | 7.77 | -1.195 |